Below is a geometry-optimized CrTc2Br structure, with properties calculated at the GGA-PBEsol level.

CIF file:
```
data_CrTc2Br
_chemical_formula_sum 'Cr2 Tc4 Br2'
_symmetry_space_group_name_H-M 'C 1 m 1'
_symmetry_Int_Tables_number 8
_cell_length_a 9.385
_cell_length_b 2.920
_cell_length_c 4.276
_cell_angle_alpha 90.00
_cell_angle_beta 91.74
_cell_angle_gamma 90.00
loop_
_symmetry_equiv_pos_as_xyz
'x,y,z'
'x,-y,z'
'x+1/2,y+1/2,z'
'x+1/2,-y+1/2,z'
loop_
_atom_site_label
_atom_site_type_symbol
_atom_site_fract_x
_atom_site_fract_y
_atom_site_fract_z
_atom_site_occupancy
Cr1 Cr 0.000 0.000 0.000 1
Tc1 Tc 0.219 0.500 0.217 1
Tc2 Tc 0.446 0.000 0.418 1
Br1 Br 0.218 0.000 0.723 1
```

Output
Spin magnetization = 0.00 μB per formula unit
V = 59 Å³/f.u.
Formation energy without anion corrections = 270 kJ/mol of formula units
Density = 9.30 Mg/m³
Distance to the lowest polymorph of the same formula = 0.0 meV/atom
DOS at the Fermi energy = 8.39 states/eV per cell

***

Below is a geometry-optimized TcB2W structure, with properties calculated at the GGA-PBEsol level.

CIF file:
```
data_TcB2W
_chemical_formula_sum 'Tc4 B8 W4'
_symmetry_space_group_name_H-M 'F m -3 m'
_symmetry_Int_Tables_number 225
_symmetry_space_group_name_Hall '-F 4 2 3'
_cell_length_a 5.478
_cell_length_b 5.478
_cell_length_c 5.478
_cell_angle_alpha 90.00
_cell_angle_beta 90.00
_cell_angle_gamma 90.00
loop_
_atom_site_label
_atom_site_type_symbol
_atom_site_fract_x
_atom_site_fract_y
_atom_site_fract_z
_atom_site_occupancy
Tc1 Tc 0.000 0.000 0.000 1
B1 B 0.250 0.250 0.250 1
W1 W 0.000 0.000 0.500 1
```

Output
Spin magnetization = 0.00 μB per formula unit
V = 41 Å³/f.u.
Formation energy = 187 meV/atom
Density = 12.26 Mg/m³
DOS at the Fermi energy = 7.62 states/eV per cell

***

Below is a geometry-optimized CdTe structure, with properties calculated at the GGA-PBEsol level.

CIF file:
```
data_CdTe
_chemical_formula_sum 'Cd4 Te4'
_symmetry_space_group_name_H-M 'C m c m'
_symmetry_Int_Tables_number 63
_symmetry_space_group_name_Hall '-C 2c 2'
_cell_length_a 4.070
_cell_length_b 13.942
_cell_length_c 4.105
_cell_angle_alpha 90.00
_cell_angle_beta 90.00
_cell_angle_gamma 90.00
loop_
_atom_site_label
_atom_site_type_symbol
_atom_site_fract_x
_atom_site_fract_y
_atom_site_fract_z
_atom_site_occupancy
Cd1 Cd 0.000 0.171 0.250 1
Te1 Te 0.000 0.380 0.250 1
```

Output
Spin magnetization = 0.00 μB per formula unit
V = 58 Å³/f.u.
Formation energy without anion corrections = -36 kJ/mol of formula units
Density = 6.84 Mg/m³
DOS at the Fermi energy = 3.46 states/eV per cell

***

Below is a geometry-optimized Tc3HgMo structure, with properties calculated at the GGA-PBEsol level.

CIF file:
```
data_Tc3HgMo
_chemical_formula_sum 'Tc3 Hg1 Mo1'
_symmetry_space_group_name_H-M 'P m -3 m'
_symmetry_Int_Tables_number 221
_symmetry_space_group_name_Hall '-P 4 2 3'
_cell_length_a 4.598
_cell_length_b 4.598
_cell_length_c 4.598
_cell_angle_alpha 90.00
_cell_angle_beta 90.00
_cell_angle_gamma 90.00
loop_
_atom_site_label
_atom_site_type_symbol
_atom_site_fract_x
_atom_site_fract_y
_atom_site_fract_z
_atom_site_occupancy
Tc1 Tc 0.000 0.000 0.500 1
Hg1 Hg 0.500 0.500 0.500 1
Mo1 Mo 0.000 0.000 0.000 1
```

Output
Spin magnetization = 2.04 μB per formula unit
V = 97 Å³/f.u.
Formation energy = 1727 meV/atom
Density = 10.08 Mg/m³
DOS at the Fermi energy = 4.74 states/eV per cell

***

Below is a geometry-optimized Y2AgPt2 structure, with properties calculated at the GGA-PBEsol level.

CIF file:
```
data_Y2AgPt2
_chemical_formula_sum 'Y4 Ag2 Pt4'
_symmetry_space_group_name_H-M 'P 4/m b m'
_symmetry_Int_Tables_number 127
_symmetry_space_group_name_Hall '-P 4 2ab'
_cell_length_a 7.524
_cell_length_b 7.524
_cell_length_c 3.668
_cell_angle_alpha 90.00
_cell_angle_beta 90.00
_cell_angle_gamma 90.00
loop_
_atom_site_label
_atom_site_type_symbol
_atom_site_fract_x
_atom_site_fract_y
_atom_site_fract_z
_atom_site_occupancy
Y1 Y 0.168 0.332 0.000 1
Ag1 Ag 0.000 0.000 0.500 1
Pt1 Pt 0.133 0.633 0.500 1
```

Output
Spin magnetization = 0.00 μB per formula unit
V = 104 Å³/f.u.
Formation energy = -947 meV/atom
Density = 10.81 Mg/m³
DOS at the Fermi energy = 4.97 states/eV per cell

***

Below is a geometry-optimized TaAs2Cl structure, with properties calculated at the GGA-PBEsol level.

CIF file:
```
data_TaAs2Cl
_chemical_formula_sum 'Ta2 As4 Cl2'
_symmetry_space_group_name_H-M 'C m m m'
_symmetry_Int_Tables_number 65
_symmetry_space_group_name_Hall '-C 2 2'
_cell_length_a 4.947
_cell_length_b 9.751
_cell_length_c 2.933
_cell_angle_alpha 90.00
_cell_angle_beta 90.00
_cell_angle_gamma 90.00
loop_
_atom_site_label
_atom_site_type_symbol
_atom_site_fract_x
_atom_site_fract_y
_atom_site_fract_z
_atom_site_occupancy
Ta1 Ta 0.000 0.000 0.000 1
As1 As 0.250 0.250 0.500 1
Cl1 Cl 0.000 0.500 0.000 1
```

Output
Spin magnetization = 0.00 μB per formula unit
V = 71 Å³/f.u.
Formation energy without anion corrections = 61 kJ/mol of formula units
Density = 8.60 Mg/m³
Distance to the lowest polymorph of the same formula = 0.0 meV/atom
DOS at the Fermi energy = 3.95 states/eV per cell

***

Below is a geometry-optimized Li2YCd structure, with properties calculated at the GGA-PBEsol level.

CIF file:
```
data_Li2YCd
_chemical_formula_sum 'Li4 Y2 Cd2'
_symmetry_space_group_name_H-M 'I -4 m 2'
_symmetry_Int_Tables_number 119
_symmetry_space_group_name_Hall 'I -4 -2'
_cell_length_a 4.685
_cell_length_b 4.685
_cell_length_c 7.850
_cell_angle_alpha 90.00
_cell_angle_beta 90.00
_cell_angle_gamma 90.00
loop_
_atom_site_label
_atom_site_type_symbol
_atom_site_fract_x
_atom_site_fract_y
_atom_site_fract_z
_atom_site_occupancy
Li1 Li 0.000 0.000 0.000 1
Li2 Li 0.000 0.500 0.250 1
Y1 Y 0.000 0.000 0.500 1
Cd1 Cd 0.000 0.500 0.750 1
```

Output
Spin magnetization = 0.00 μB per formula unit
V = 86 Å³/f.u.
Formation energy = -91 meV/atom
Density = 4.15 Mg/m³
Distance to the lowest polymorph of the same formula = 17.2 meV/atom
DOS at the Fermi energy = 7.16 states/eV per cell

***

Below is a geometry-optimized Li2MoP4O13 structure, with properties calculated at the GGA-PBEsol level.

CIF file:
```
data_Li2MoP4O13
_chemical_formula_sum 'Li4 Mo2 P8 O26'
_symmetry_space_group_name_H-M 'P -1'
_symmetry_Int_Tables_number 2
_cell_length_a 5.280
_cell_length_b 8.013
_cell_length_c 12.903
_cell_angle_alpha 96.74
_cell_angle_beta 95.79
_cell_angle_gamma 99.49
loop_
_symmetry_equiv_pos_as_xyz
'x,y,z'
'-x,-y,-z'
loop_
_atom_site_label
_atom_site_type_symbol
_atom_site_fract_x
_atom_site_fract_y
_atom_site_fract_z
_atom_site_occupancy
Li1 Li 0.074 0.175 0.016 1
Li2 Li 0.248 0.996 0.495 1
Mo1 Mo 0.448 0.590 0.744 1
P1 P 0.030 0.244 0.364 1
P2 P 0.073 0.579 0.146 1
P3 P 0.288 0.958 0.828 1
P4 P 0.453 0.796 0.301 1
O1 O 0.024 0.150 0.457 1
O2 O 0.045 0.896 0.742 1
O3 O 0.080 0.675 0.055 1
O4 O 0.163 0.633 0.642 1
O5 O 0.164 0.719 0.254 1
O6 O 0.191 0.992 0.932 1
O7 O 0.198 0.510 0.837 1
O8 O 0.258 0.448 0.152 1
O9 O 0.303 0.335 0.352 1
O10 O 0.409 0.348 0.672 1
O11 O 0.421 0.136 0.798 1
O12 O 0.464 0.936 0.389 1
O13 O 0.478 0.834 0.819 1
```

Output
Spin magnetization = 2.00 μB per formula unit
V = 265 Å³/f.u.
Formation energy without anion corrections = -4166 kJ/mol of formula units
Density = 2.76 Mg/m³
DOS at the Fermi energy = 8.80 states/eV per cell

***

Look up the density of the fifth one. 10.81 Mg/m³

***

Which value of V does entry 5 give? 104 Å³/f.u.